{"formula": "Nb5Ru3", "functional": "PBE-GGA", "state": "optimized geometry", "lattice": [[3.219, 0.000, 0.000], [0.000, 3.219, 0.000], [0.000, 0.000, 12.863]], "species": ["Nb", "Nb", "Nb", "Nb", "Nb", "Ru", "Ru", "Ru"], "fractional_positions": [[0.000, 0.000, 0.000], [0.000, 0.000, 0.244], [0.000, 0.000, 0.756], [0.500, 0.500, 0.377], [0.500, 0.500, 0.623], [0.000, 0.000, 0.500], [0.500, 0.500, 0.123], [0.500, 0.500, 0.877]], "dos_at_fermi_per_ev_cell": 9.27, "ef_kj_per_mol_fu": -134}



{"formula": "NbRuS2", "functional": "PBE-GGA", "state": "optimized geometry", "lattice": [[5.474, 0.000, 0.000], [0.000, 5.474, 0.000], [0.000, 0.000, 10.276]], "species": ["Nb", "Nb", "Nb", "Nb", "Ru", "Ru", "Ru", "Ru", "S", "S", "S", "S", "S", "S", "S", "S"], "fractional_positions": [[0.000, 0.000, 0.000], [0.000, 0.500, 0.250], [0.500, 0.000, 0.750], [0.500, 0.500, 0.500], [0.000, 0.000, 0.500], [0.000, 0.500, 0.750], [0.500, 0.000, 0.250], [0.500, 0.500, 0.000], [0.231, 0.250, 0.625], [0.250, 0.731, 0.875], [0.250, 0.769, 0.375], [0.269, 0.250, 0.125], [0.731, 0.750, 0.125], [0.750, 0.231, 0.375], [0.750, 0.269, 0.875], [0.769, 0.750, 0.625]], "polymorph_energy_ev_per_fu": 0.33, "dos_at_fermi_per_ev_cell": 13.90}



{"formula": "Nb2RuS2", "functional": "PBE-GGA", "state": "optimized geometry", "lattice": [[4.826, 0.000, 0.000], [0.000, 4.826, 0.000], [0.000, 0.000, 7.252]], "species": ["Nb", "Nb", "Nb", "Nb", "Ru", "Ru", "S", "S", "S", "S"], "fractional_positions": [[0.000, 0.500, 0.250], [0.000, 0.500, 0.750], [0.500, 0.000, 0.250], [0.500, 0.000, 0.750], [0.000, 0.000, 0.000], [0.500, 0.500, 0.500], [0.000, 0.000, 0.317], [0.000, 0.000, 0.683], [0.500, 0.500, 0.183], [0.500, 0.500, 0.817]], "polymorph_energy_ev_per_fu": 0.37, "dos_at_fermi_per_ev_cell": 6.12}



{"formula": "NbRuS3", "functional": "PBE-GGA", "state": "optimized geometry", "lattice": [[4.520, 0.000, 0.000], [0.000, 4.520, 0.000], [0.000, 0.000, 4.520]], "species": ["Nb", "Ru", "S", "S", "S"], "fractional_positions": [[0.000, 0.000, 0.000], [0.500, 0.500, 0.500], [0.000, 0.500, 0.500], [0.500, 0.000, 0.500], [0.500, 0.500, 0.000]], "polymorph_energy_ev_per_fu": 0.63, "dos_at_fermi_per_ev_cell": 6.00}



{"formula": "Nb2RuS", "functional": "PBE-GGA", "state": "optimized geometry", "lattice": [[5.197, 0.000, 0.000], [0.000, 5.197, 0.000], [0.000, 0.000, 12.885]], "species": ["Nb", "Nb", "Nb", "Nb", "Nb", "Nb", "Nb", "Nb", "Ru", "Ru", "Ru", "Ru", "S", "S", "S", "S"], "fractional_positions": [[0.234, 0.250, 0.125], [0.250, 0.734, 0.375], [0.250, 0.766, 0.875], [0.266, 0.250, 0.625], [0.734, 0.750, 0.625], [0.750, 0.234, 0.875], [0.750, 0.266, 0.375], [0.766, 0.750, 0.125], [0.000, 0.000, 0.500], [0.000, 0.500, 0.750], [0.500, 0.000, 0.250], [0.500, 0.500, 0.000], [0.000, 0.000, 0.000], [0.000, 0.500, 0.250], [0.500, 0.000, 0.750], [0.500, 0.500, 0.500]], "polymorph_energy_ev_per_fu": 1.32, "dos_at_fermi_per_ev_cell": 11.78}



{"formula": "NbRuS", "functional": "PBE-GGA", "state": "optimized geometry", "lattice": [[7.171, 0.000, 0.000], [0.000, 4.081, 0.000], [-0.949, 0.000, 7.874]], "species": ["Nb", "Nb", "Nb", "Nb", "Ru", "Ru", "Ru", "Ru", "S", "S", "S", "S"], "fractional_positions": [[0.031, 0.000, 0.325], [0.469, 0.500, 0.675], [0.531, 0.500, 0.325], [0.969, 0.000, 0.675], [0.145, 0.500, 0.794], [0.355, 0.000, 0.206], [0.645, 0.000, 0.794], [0.855, 0.500, 0.206], [0.178, 0.500, 0.151], [0.322, 0.000, 0.849], [0.678, 0.000, 0.151], [0.822, 0.500, 0.849]], "dos_at_fermi_per_ev_cell": 5.08, "dft_energy_ev_per_atom": -7.684}



{"formula": "NbRuS2", "functional": "PBE-GGA", "state": "optimized geometry", "lattice": [[6.095, 0.000, 0.000], [0.000, 6.095, 0.000], [0.000, 0.000, 6.095]], "species": ["Nb", "Nb", "Nb", "Nb", "Ru", "Ru", "Ru", "Ru", "S", "S", "S", "S", "S", "S", "S", "S"], "fractional_positions": [[0.000, 0.000, 0.000], [0.000, 0.500, 0.500], [0.500, 0.000, 0.500], [0.500, 0.500, 0.000], [0.000, 0.000, 0.500], [0.000, 0.500, 0.000], [0.500, 0.000, 0.000], [0.500, 0.500, 0.500], [0.250, 0.250, 0.250], [0.250, 0.250, 0.750], [0.250, 0.750, 0.250], [0.250, 0.750, 0.750], [0.750, 0.250, 0.250], [0.750, 0.250, 0.750], [0.750, 0.750, 0.250], [0.750, 0.750, 0.750]], "polymorph_energy_ev_per_fu": 0.36, "dos_at_fermi_per_ev_cell": 11.55}



{"formula": "Nb2RuS2", "functional": "PBE-GGA", "state": "optimized geometry", "lattice": [[6.850, 0.000, 0.000], [0.000, 6.850, 0.000], [0.000, 0.000, 3.184]], "species": ["Nb", "Nb", "Nb", "Nb", "Ru", "Ru", "S", "S", "S", "S"], "fractional_positions": [[0.150, 0.350, 0.000], [0.350, 0.850, 0.000], [0.650, 0.150, 0.000], [0.850, 0.650, 0.000], [0.000, 0.000, 0.500], [0.500, 0.500, 0.500], [0.155, 0.655, 0.500], [0.345, 0.155, 0.500], [0.655, 0.845, 0.500], [0.845, 0.345, 0.500]], "polymorph_energy_ev_per_fu": 0.00, "dos_at_fermi_per_ev_cell": 9.09}



{"formula": "Nb2RuS6", "functional": "PBE-GGA", "state": "optimized geometry", "lattice": [[5.862, 0.000, 0.000], [0.000, 5.862, 0.000], [0.000, 0.000, 10.349]], "species": ["Nb", "Nb", "Nb", "Nb", "Ru", "Ru", "S", "S", "S", "S", "S", "S", "S", "S", "S", "S", "S", "S"], "fractional_positions": [[0.000, 0.000, 0.156], [0.000, 0.000, 0.844], [0.500, 0.500, 0.344], [0.500, 0.500, 0.656], [0.000, 0.000, 0.500], [0.500, 0.500, 0.000], [0.198, 0.198, 0.333], [0.198, 0.198, 0.667], [0.215, 0.215, 0.000], [0.285, 0.715, 0.500], [0.302, 0.698, 0.167], [0.302, 0.698, 0.833], [0.698, 0.302, 0.167], [0.698, 0.302, 0.833], [0.715, 0.285, 0.500], [0.785, 0.785, 0.000], [0.802, 0.802, 0.333], [0.802, 0.802, 0.667]], "dos_at_fermi_per_ev_cell": 13.41, "dft_energy_ev_per_atom": -6.659}



{"formula": "Nb3RuS", "functional": "PBE-GGA", "state": "optimized geometry", "lattice": [[4.821, 0.000, 0.000], [0.000, 4.821, 0.000], [0.000, 0.000, 4.821]], "species": ["Nb", "Nb", "Nb", "Ru", "S"], "fractional_positions": [[0.000, 0.000, 0.500], [0.000, 0.500, 0.000], [0.500, 0.000, 0.000], [0.000, 0.000, 0.000], [0.500, 0.500, 0.500]], "polymorph_energy_ev_per_fu": 3.96, "dos_at_fermi_per_ev_cell": 7.23}



{"formula": "Nb2RuS", "functional": "PBE-GGA", "state": "optimized geometry", "lattice": [[6.319, 0.000, 0.000], [0.000, 6.319, 0.000], [0.000, 0.000, 6.319]], "species": ["Nb", "Nb", "Nb", "Nb", "Nb", "Nb", "Nb", "Nb", "Ru", "Ru", "Ru", "Ru", "S", "S", "S", "S"], "fractional_positions": [[0.250, 0.250, 0.250], [0.250, 0.250, 0.750], [0.250, 0.750, 0.250], [0.250, 0.750, 0.750], [0.750, 0.250, 0.250], [0.750, 0.250, 0.750], [0.750, 0.750, 0.250], [0.750, 0.750, 0.750], [0.000, 0.000, 0.000], [0.000, 0.500, 0.500], [0.500, 0.000, 0.500], [0.500, 0.500, 0.000], [0.000, 0.000, 0.500], [0.000, 0.500, 0.000], [0.500, 0.000, 0.000], [0.500, 0.500, 0.500]], "polymorph_energy_ev_per_fu": 0.00, "dos_at_fermi_per_ev_cell": 20.40}



{"formula": "NbRuS3", "functional": "PBE-GGA", "state": "optimized geometry", "lattice": [[4.774, 0.000, 0.000], [0.000, 4.774, 0.000], [0.000, 0.000, 4.774]], "species": ["Nb", "Ru", "S", "S", "S"], "fractional_positions": [[0.000, 0.000, 0.000], [0.500, 0.500, 0.500], [0.000, 0.000, 0.500], [0.000, 0.500, 0.000], [0.500, 0.000, 0.000]], "polymorph_energy_ev_per_fu": 0.00, "dos_at_fermi_per_ev_cell": 4.09}